{
  "formula": "TaTe4Pt",
  "functional": "PBE",
  "state": "relaxed",
  "e_above_lowest_polymorph_mev_per_atom": 0,
  "e_form_raw_mev_per_atom": -81,
  "spacegroup": "C2/m (12)",
  "cell": [[8.590, -2.717, 0.000], [8.590, 2.717, 0.000], [-2.116, 0.000, 8.564]],
  "species": ["Ta", "Ta", "Te", "Te", "Te", "Te", "Te", "Te", "Te", "Te", "Pt", "Pt"],
  "frac_coords": [[0.204, 0.204, 0.283], [0.796, 0.796, 0.717], [0.067, 0.067, 0.381], [0.115, 0.115, 0.004], [0.251, 0.251, 0.643], [0.365, 0.365, 0.271], [0.635, 0.635, 0.729], [0.749, 0.749, 0.357], [0.885, 0.885, 0.996], [0.933, 0.933, 0.619], [0.099, 0.099, 0.689], [0.901, 0.901, 0.311]]
}


{
  "formula": "ErZrTlZn",
  "functional": "PBE",
  "state": "relaxed",
  "formation_energy_kj_per_mol_fu": -63,
  "spacegroup": "F-43m (216)",
  "cell": [[0.000, 3.559, 3.559], [3.559, 0.000, 3.559], [3.559, 3.559, 0.000]],
  "species": ["Er", "Zr", "Tl", "Zn"],
  "frac_coords": [[0.000, 0.000, 0.000], [0.500, 0.500, 0.500], [0.750, 0.750, 0.750], [0.250, 0.250, 0.250]]
}